PBE TaTi2O, relaxed; DOS at the Fermi energy = 7.6 states/eV/f.u.; uncorrected energy = -71.283 eV for the cell shown; formation energy (no corrections) = -760 meV per atom
1.0
5.8966 0.0000 0.0000
0.0000 5.8966 0.0000
2.9483 2.9483 3.8060
Ti O Ta
4 2 2
Direct
0.5011 0.1250 0.2500
0.2489 0.6250 0.2500
0.3750 0.4989 0.7500
0.8750 0.7511 0.7500
0.5000 0.5000 0.0000
0.2500 0.7500 0.5000
0.0000 0.0000 0.0000
0.7500 0.2500 0.5000

PBE TaTi3O, relaxed; DOS at the Fermi energy = 2.8 states/eV/f.u.; uncorrected energy = -45.786 eV for the cell shown; formation energy (no corrections) = -1058 meV per atom
1.0
4.1771 0.0000 0.0000
0.0000 4.1771 0.0000
0.0000 0.0000 4.1771
Ti O Ta
3 1 1
Direct
0.0000 0.5000 0.0000
0.0000 0.0000 0.5000
0.5000 0.0000 0.0000
0.0000 0.0000 0.0000
0.5000 0.5000 0.5000

PBE Ta3TiTl2O12, relaxed; DOS at the Fermi energy = 11.2 states/eV/f.u.; uncorrected energy = -146.275 eV for the cell shown; formation energy (no corrections) = -2144 meV per atom
1.0
-5.8299 -3.5532 -2.9046
0.3591 -7.3293 -1.0965
-4.0190 -4.5390 4.2773
Ta Ti Tl O
3 1 2 12
Direct
0.5000 0.0000 0.0000
0.0000 0.5000 0.0000
0.0000 0.0000 0.5000
0.0000 0.0000 0.0000
0.6313 0.6313 0.6313
0.3687 0.3687 0.3687
0.3148 0.3148 0.9379
0.9375 0.9375 0.3092
0.3092 0.9375 0.9375
0.9379 0.3148 0.3148
0.9375 0.3092 0.9375
0.3148 0.9379 0.3148
0.6852 0.6852 0.0621
0.0625 0.0625 0.6908
0.6908 0.0625 0.0625
0.0621 0.6852 0.6852
0.0625 0.6908 0.0625
0.6852 0.0621 0.6852

PBE TaTiTl2O6, relaxed; DOS at the Fermi energy = 3.2 states/eV/f.u.; uncorrected energy = -148.881 eV for the cell shown; formation energy (no corrections) = -2021 meV per atom
1.0
-5.1663 -2.0666 2.0087
-1.1025 -5.8112 -0.1031
1.6619 -3.4931 9.3920
Ta Ti Tl O
2 2 4 12
Direct
0.5998 0.5998 0.2006
0.4002 0.4002 0.7994
0.0000 0.0000 0.0000
0.5000 0.5000 0.5000
0.8699 0.8699 0.3903
0.1301 0.1301 0.6097
0.7378 0.7378 0.7866
0.2622 0.2622 0.2134
0.8326 0.4028 0.3619
0.4028 0.8326 0.3619
0.4028 0.4028 0.3619
0.1674 0.5972 0.6381
0.5972 0.1674 0.6381
0.5972 0.5972 0.6381
0.7119 0.2014 0.8853
0.2014 0.7119 0.8853
0.2014 0.2014 0.8853
0.2881 0.7986 0.1147
0.7986 0.2881 0.1147
0.7986 0.7986 0.1147